VASP calculation (PBE+U) on crystalline K3Mo2F9 at its relaxed geometry.

Unit cell a=7.816 b=7.816 c=7.816 alpha=86.09 beta=86.09 gamma=86.09
Each line ends with the local moment (μB).
Fractional coordinates of all 28 atoms:
K1 0.403 0.750 0.097  0.00
K2 0.250 0.903 0.597  0.00
K3 0.903 0.597 0.250  0.00
K4 0.097 0.403 0.750  0.00
K5 0.750 0.097 0.403  0.00
K6 0.597 0.250 0.903  0.00
Mo1 0.146 0.146 0.146  2.74
Mo2 0.646 0.646 0.646  2.74
Mo3 0.854 0.854 0.854  2.74
Mo4 0.354 0.354 0.354  2.74
F1 0.743 0.923 0.086  0.04
F2 0.077 0.914 0.257  0.04
F3 0.250 0.400 0.100  0.03
F4 0.577 0.757 0.414  0.04
F5 0.600 0.900 0.750  0.03
F6 0.900 0.750 0.600  0.03
F7 0.243 0.586 0.423  0.04
F8 0.586 0.423 0.243  0.04
F9 0.914 0.257 0.077  0.04
F10 0.086 0.743 0.923  0.04
F11 0.414 0.577 0.757  0.04
F12 0.400 0.100 0.250  0.03
F13 0.757 0.414 0.577  0.04
F14 0.100 0.250 0.400  0.03
F15 0.423 0.243 0.586  0.04
F16 0.750 0.600 0.900  0.03
F17 0.923 0.086 0.743  0.04
F18 0.257 0.077 0.914  0.04

Summary:
Calculated volume (A^3/atom): 16.938
Magnetization (μB per cell): 12.000
Uncorrected energy (eV per cell): -142.75
Density of states at the Fermi level (states/eV per atom): 0.000